DFT (GGA-PBE) results for a relaxed structure of AcBHPd6.

## Properties
E, eV per atom: -5.453
D(E_F), states/eV/cell: 8.0

extended XYZ file:
```
18
Lattice="7.457 0.000 0.000 0.000 7.568 0.000 -3.729 -3.784 5.340" Properties=species:S:1:pos:R:3 pbc="T T T"
Ac 3.729 1.892 4.133
Ac 0.000 1.892 1.206
Pd 0.000 1.892 4.411
Pd 5.249 -0.434 1.334
Pd -1.520 -0.434 4.006
Pd 3.729 1.892 0.928
Pd 2.209 -0.434 1.334
Pd 2.209 4.218 1.334
Pd -1.520 4.218 4.006
Pd 0.000 5.676 2.016
Pd 1.520 4.218 4.006
Pd 5.249 4.218 1.334
Pd 1.520 -0.434 4.006
Pd 3.729 -1.892 3.323
H -1.864 -1.892 2.670
H 1.864 -1.892 2.670
B 3.729 0.000 0.000
B 3.729 3.784 0.000
```